Computed, not measured: a relaxed RbBaP2Cl crystal at the GGA-PBE level of DFT.

* crystal system: tetragonal
* total moment: 0.17 μB/atom
* energy relative to the lowest polymorph listed for this composition: 0.356 eV/atom

a = 5.4750 Å, b = 5.4750 Å, c = 5.8585 Å
α = 90.00°, β = 90.00°, γ = 90.00°
With the nearest neighbours (Å) after each atom.
Sites, in units of the cell vectors:
Cl: 0.0000 0.0000 0.5000  2 Rb 2.93
Rb: 0.0000 0.0000 0.0000  4 P 2.74, 2 Cl 2.93
P: 0.5000 0.0000 0.0000  2 Rb 2.74
Ba: 0.5000 0.5000 0.5000  4 Cl 3.87, 8 P 4.01
P: 0.0000 0.5000 0.0000  2 Rb 2.74